[1]
VASP calculation (PBE) on a relaxed structure of TbSmTeN.

POSCAR file:
```
TbSmTeN
1.0
-2.037 2.974 1.269
0.729 -1.020 3.561
6.130 2.791 -2.456
Tb Sm Te N
1 1 1 1
Cartesian
0.819 2.815 0.472
4.126 5.089 0.447
3.822 1.932 1.605
0.120 1.573 2.260
```

Crystal system: orthorhombic
Uncorrected formation energy in eV/atom: -1.34

---

[2]
VASP calculation (PBE) on a relaxed structure of Nd3PaNi8.

POSCAR file:
```
Nd3PaNi8
1.0
4.919 0.000 1.485
2.236 4.382 1.485
-0.001 -0.001 8.894
Nd Pa Ni
3 1 8
Cartesian
2.680 1.641 8.902
0.003 0.002 8.880
3.573 2.188 5.946
6.256 3.832 5.946
5.573 1.910 3.756
4.279 4.106 8.113
3.118 1.910 3.015
6.704 4.106 8.845
1.345 0.824 4.434
4.919 3.013 10.376
4.234 4.096 3.756
5.602 1.946 8.113
```

Crystal system: trigonal
Energy of formation from the pure elements in kJ per mole of atoms: -28.4

---

[3]
VASP calculation (PBE) on a relaxed structure of Cr2Ni2W.

POSCAR file:
```
Cr2Ni2W
1.0
-3.804 4.767 -3.363
2.366 -2.408 -6.091
-1.947 -1.632 -0.111
Ni W Cr
4 2 4
Cartesian
0.638 -0.309 -6.631
-1.876 2.697 -6.737
-2.075 2.668 -2.822
0.439 -0.338 -2.716
0.000 0.000 0.000
-0.719 1.179 -4.727
-0.042 -1.607 -4.756
-1.589 0.415 -7.350
-3.342 2.334 -4.808
-1.795 0.311 -2.214
```

Crystal system: tetragonal
Energy of formation from the pure elements in kJ per mole of atoms: 19.6

---

[4]
VASP calculation (PBE) on a relaxed structure of Ac6Pt3Cl2.

POSCAR file:
```
Ac6Pt3Cl2
1.0
7.415 0.000 2.184
3.707 6.703 1.092
0.324 0.000 7.861
Ac Pt Cl
6 3 2
Cartesian
5.750 4.513 7.771
5.676 0.000 7.745
2.043 2.190 6.679
2.063 0.000 2.300
5.697 2.190 3.365
9.404 4.513 4.457
0.000 0.000 0.000
3.707 2.254 1.092
7.415 4.449 2.184
3.870 4.431 5.022
7.577 2.272 6.114
```

Crystal system: monoclinic
Uncorrected formation energy in eV/atom: -1.26

---

[5]
VASP calculation (PBE) on a relaxed structure of Ac3La2ThAs6.

POSCAR file:
```
Ac3La2ThAs6
1.0
-0.657 3.981 1.832
-6.757 1.457 -5.588
-3.920 -6.190 6.687
Ac La Th As
3 2 1 6
Cartesian
-3.707 2.719 -1.878
-4.283 -0.556 5.031
-7.052 -0.197 -2.101
-7.659 0.160 2.265
-3.676 -0.913 0.666
-0.328 1.990 0.916
-9.055 -1.518 0.053
-5.666 1.415 0.253
-2.279 0.766 2.878
-1.609 0.331 -1.295
-9.726 -1.083 4.226
-5.668 -2.167 2.678
```

Crystal system: monoclinic
Energy of formation from the pure elements in kJ per mole of atoms: -145.6

---

[6]
VASP calculation (PBE) on a relaxed structure of Tb2Nd5YTm.

POSCAR file:
```
Tb2Nd5YTm
1.0
5.664 0.000 0.000
-2.832 10.254 0.000
0.000 0.000 10.674
Tb Nd Y Tm
4 10 2 2
Cartesian
2.832 7.901 8.629
0.000 2.327 7.876
0.000 2.353 3.291
2.832 7.927 2.539
0.000 7.858 0.224
2.832 4.548 8.681
0.000 9.915 7.950
0.000 6.082 7.557
2.832 9.943 5.506
2.832 2.397 5.561
0.000 5.706 3.344
2.832 0.339 2.613
2.832 4.172 2.220
0.000 0.311 0.168
2.832 1.922 10.289
0.000 8.332 4.952
2.832 6.178 5.455
0.000 4.077 0.118
```

Crystal system: orthorhombic
Energy of formation from the pure elements in kJ per mole of atoms: 13.9

---

[7]
VASP calculation (PBE) on a relaxed structure of Ho5Mg2ZnRu2.

POSCAR file:
```
Ho5Mg2ZnRu2
1.0
-0.060 -0.463 3.764
-10.342 -4.641 -0.737
4.696 -10.275 -1.190
Ho Mg Zn Ru
10 4 2 4
Cartesian
-1.794 -1.963 1.641
-3.912 -13.416 0.197
2.918 -8.752 0.880
-5.330 -7.862 0.858
-8.624 -6.628 0.957
-0.376 -7.518 0.980
-2.675 -10.149 0.619
-3.031 -5.231 1.219
-5.201 -2.552 1.514
2.318 -5.369 1.287
-6.155 -4.919 -0.704
0.509 -9.997 -1.223
-0.272 -4.156 -0.516
-5.374 -10.760 -1.411
0.000 0.000 0.000
-2.823 -7.458 -0.964
1.624 -7.050 -0.842
-7.270 -7.867 -1.085
-2.403 -11.873 -1.500
-3.243 -3.043 -0.427
```

Crystal system: tetragonal
Energy of formation from the pure elements in kJ per mole of atoms: -23.1